[1]
Compound: LiNd2NpS4
Source: Alexandria via LeMat-Bulk
Functional: PBE
Structure: relaxed

Cell and atoms, written as extended XYZ:
```
8
Lattice="-0.114 3.072 2.551 4.107 -3.446 4.333 3.800 3.749 -4.344" Properties=species:S:1:pos:R:3 pbc="T T T"
Nd 3.954 0.151 -0.006
S 5.959 1.789 1.239
S 3.945 1.995 -2.226
Nd 1.843 3.410 -0.897
S 3.963 -1.692 2.215
Np 1.997 -0.187 3.442
S 1.835 1.585 1.300
Li 0.000 0.000 0.000
```

Computed properties:
- formation energy (no corrections) (eV per formula unit) = -13.75
- uncorrected energy (eV for the cell shown) = -54.649
- calculated density (g cm⁻³) = 6.156
- SG = P2/m


[2]
Compound: Pr6Si2CBr3
Source: Alexandria via LeMat-Bulk
Functional: PBE
Structure: relaxed

Cell and atoms, written as extended XYZ:
```
12
Lattice="7.201 0.003 0.000 -3.596 6.238 0.000 -1.202 -2.081 7.496" Properties=species:S:1:pos:R:3 pbc="T T T"
Pr -0.098 -0.169 6.001
Pr 0.194 4.159 6.009
Pr 2.208 0.001 1.488
Br 4.755 0.028 3.748
Si 3.599 2.083 0.000
Br 1.201 2.080 3.748
Pr -1.103 1.913 1.488
Pr 3.506 2.247 6.009
Pr 2.500 4.329 1.496
C 0.000 0.000 0.000
Si 0.005 4.158 0.000
Br -2.353 4.133 3.748
```

Computed properties:
- formation energy (no corrections) (eV per formula unit) = -11.81
- uncorrected energy (eV for the cell shown) = -65.573
- calculated density (g cm⁻³) = 5.686
- SG = C2/m


[3]
Compound: InCoAg3
Source: Alexandria via LeMat-Bulk
Functional: PBE
Structure: relaxed

Cell and atoms, written as extended XYZ:
```
5
Lattice="-1.767 4.366 1.177 -3.562 -0.565 -3.250 -2.786 -2.047 3.409" Properties=species:S:1:pos:R:3 pbc="T T T"
Co 0.000 0.000 0.000
In -4.057 0.877 0.668
Ag -1.781 -0.283 -1.625
Ag -1.393 -1.023 1.704
Ag -0.884 2.183 0.589
```

Computed properties:
- uncorrected energy (eV for the cell shown) = -14.590
- calculated density (g cm⁻³) = 7.217
- polymorph energy (0 for the lowest one) (meV per atom) = 0
- SG = Pm-3m


[4]
Compound: FeIr5
Source: Alexandria via LeMat-Bulk
Functional: PBE
Structure: relaxed

Cell and atoms, written as extended XYZ:
```
6
Lattice="-1.999 -0.944 -1.624 0.049 -7.006 1.695 -2.933 0.748 3.176" Properties=species:S:1:pos:R:3 pbc="T T T"
Ir -2.532 -6.394 2.199
Ir -3.239 -1.983 0.506
Ir -1.294 -5.339 0.062
Ir -0.658 -2.601 0.005
Fe -1.996 -0.965 -1.616
Ir -1.882 -3.742 2.174
```

Computed properties:
- uncorrected energy (eV for the cell shown) = -52.769
- calculated density (g cm⁻³) = 19.822
- SG = Amm2


[5]
Compound: Mg2Zn2Fe
Source: Alexandria via LeMat-Bulk
Functional: PBE
Structure: relaxed

Cell and atoms, written as extended XYZ:
```
5
Lattice="-3.814 0.313 0.410 -0.422 -0.143 -3.823 -2.592 -6.046 -1.425" Properties=species:S:1:pos:R:3 pbc="T T T"
Mg -4.262 -2.823 -1.361
Zn -2.207 -1.068 -1.654
Zn -4.621 -4.807 -3.185
Fe 0.000 0.000 0.000
Mg -2.566 -3.051 -3.477
```

Computed properties:
- uncorrected energy (eV for the cell shown) = -11.868
- calculated density (g cm⁻³) = 4.284
- polymorph energy (0 for the lowest one) (meV per atom) = 307
- SG = I4/mmm


[6]
Compound: BaMgAl2Ga
Source: Alexandria via LeMat-Bulk
Functional: PBE
Structure: relaxed

Cell and atoms, written as extended XYZ:
```
5
Lattice="-3.236 2.218 -2.435 -0.665 -3.780 -2.560 -2.105 -1.035 6.233" Properties=species:S:1:pos:R:3 pbc="T T T"
Ga -4.607 -1.971 -0.050
Al -3.179 0.409 0.221
Ba -3.580 -1.604 3.298
Mg -1.914 -2.598 0.177
Al -0.450 -0.202 0.415
```

Computed properties:
- uncorrected energy (eV for the cell shown) = -15.437
- calculated density (g cm⁻³) = 3.832
- SG = Imm2


[7]
Compound: RuPt4Se
Source: Alexandria via LeMat-Bulk
Functional: PBE
Structure: relaxed

Cell and atoms, written as extended XYZ:
```
6
Lattice="-1.206 -4.839 1.748 -4.738 -0.929 2.148 -3.546 -2.938 -2.592" Properties=species:S:1:pos:R:3 pbc="T T T"
Pt -5.929 -5.439 0.815
Ru -2.372 -2.176 0.326
Pt -5.327 -3.024 -0.057
Pt -3.564 -4.976 -0.257
Pt -4.159 -3.973 2.109
Se 0.000 0.000 0.000
```

Computed properties:
- formation energy (no corrections) (eV per formula unit) = 3.33
- uncorrected energy (eV for the cell shown) = -33.591
- calculated density (g cm⁻³) = 15.285
- SG = F-43m


[8]
Compound: La2Cd2Pt
Source: Alexandria via LeMat-Bulk
Functional: PBE
Structure: relaxed

Cell and atoms, written as extended XYZ:
```
10
Lattice="-1.576 6.792 3.206 -6.510 0.398 -4.043 -2.568 -2.435 3.895" Properties=species:S:1:pos:R:3 pbc="T T T"
La -2.148 4.605 1.462
Cd -5.667 -0.016 -0.190
La -5.661 5.916 -0.034
Cd -7.894 3.468 0.519
La -2.426 1.274 -0.803
Pt -4.043 3.595 -0.418
Pt 0.000 0.000 0.000
La -5.939 2.585 -2.299
Cd -2.760 1.287 2.540
Cd -4.987 4.771 3.249
```

Computed properties:
- uncorrected energy (eV for the cell shown) = -38.431
- calculated density (g cm⁻³) = 7.477
- polymorph energy (0 for the lowest one) (meV per atom) = 69
- SG = P4/mbm


[9]
Compound: SnI
Source: Alexandria via LeMat-Bulk
Functional: PBE
Structure: relaxed

Cell and atoms, written as extended XYZ:
```
8
Lattice="7.254 0.000 0.000 0.000 7.254 0.000 0.000 0.000 6.314" Properties=species:S:1:pos:R:3 pbc="T T T"
I 5.791 5.791 0.000
I 5.090 2.164 3.157
Sn 1.038 1.038 3.157
Sn 4.665 2.589 0.000
I 1.463 1.463 0.000
Sn 2.589 4.665 0.000
I 2.164 5.090 3.157
Sn 6.216 6.216 3.157
```

Computed properties:
- formation energy (no corrections) (eV per formula unit) = -0.15
- uncorrected energy (eV for the cell shown) = -22.818
- calculated density (g cm⁻³) = 4.910
- SG = P4_2/mnm


[10]
Compound: Rb2TiCu2Te6
Source: Alexandria via LeMat-Bulk
Functional: PBE
Structure: relaxed

Cell and atoms, written as extended XYZ:
```
11
Lattice="-3.725 -4.562 -2.766 3.108 -1.830 6.485 -7.915 5.253 1.994" Properties=species:S:1:pos:R:3 pbc="T T T"
Cu -2.318 0.925 1.597
Te 0.020 -1.178 5.697
Cu -6.214 -2.063 4.116
Te -5.350 -1.423 1.897
Rb -2.475 -2.986 0.603
Ti -5.820 0.346 -0.386
Te -6.712 2.294 1.382
Rb -6.058 1.848 5.109
Te -3.183 0.285 3.816
Te -8.552 0.040 0.016
Te -1.820 -3.432 4.330
```

Computed properties:
- formation energy (no corrections) (eV per formula unit) = -4.45
- uncorrected energy (eV for the cell shown) = -41.324
- calculated density (g cm⁻³) = 4.640
- SG = C2/m


[11]
Compound: Te2IrBr
Source: Alexandria via LeMat-Bulk
Functional: PBE
Structure: relaxed

Cell and atoms, written as extended XYZ:
```
4
Lattice="-3.366 0.172 0.443 0.060 -2.993 1.612 1.130 3.843 7.093" Properties=species:S:1:pos:R:3 pbc="T T T"
Te 1.067 3.630 6.700
Ir -0.806 1.472 6.347
Te 0.627 2.134 3.940
Br -1.371 -0.450 2.800
```

Computed properties:
- formation energy (no corrections) (eV per formula unit) = 0.68
- uncorrected energy (eV for the cell shown) = -16.136
- calculated density (g cm⁻³) = 9.301
- polymorph energy (0 for the lowest one) (meV per atom) = 435
- SG = P4/mmm


[12]
Compound: Li4Np3BiO12
Source: Alexandria via LeMat-Bulk
Functional: PBE
Structure: relaxed

Cell and atoms, written as extended XYZ:
```
20
Lattice="6.938 -0.161 -0.224 -1.828 6.694 -0.224 -1.828 -2.338 6.277" Properties=species:S:1:pos:R:3 pbc="T T T"
Li 5.491 -0.914 2.914
O 4.037 -1.480 4.007
O -2.409 2.669 4.649
Li 1.641 2.098 2.914
O 5.690 0.633 1.822
O 1.641 -1.442 5.462
O 3.171 4.947 -0.131
O 0.110 5.890 1.179
O 1.641 0.610 3.985
O 0.197 3.227 2.914
Li -2.210 1.142 5.770
Np -1.828 2.677 2.668
O -0.756 -0.074 5.960
O 3.084 2.456 1.844
O 5.076 2.951 0.366
Np 3.038 2.888 -0.224
Bi 0.000 0.000 0.000
Np 2.071 -1.370 3.385
Li 1.641 6.065 0.058
O -1.795 4.785 2.914
```

Computed properties:
- formation energy (no corrections) (eV per formula unit) = -46.42
- uncorrected energy (eV for the cell shown) = -156.279
- calculated density (g cm⁻³) = 6.705
- SG = R32